1.
# La2OsW GGA-PBE relaxed
# Energy above the lowest structure with this stoichiometry = 0.000 eV per atom
# E = -0.3067 hartree per atom
# Crystal system = tetragonal
data_La2OsW
_chemical_formula_sum 'La2 Os1 W1'
_symmetry_space_group_name_H-M 'P 4 m m'
_symmetry_Int_Tables_number 99
_symmetry_space_group_name_Hall 'P 4 -2'
_cell_length_a 3.202
_cell_length_b 3.202
_cell_length_c 9.515
_cell_angle_alpha 90.00
_cell_angle_beta 90.00
_cell_angle_gamma 90.00
loop_
_atom_site_label
_atom_site_type_symbol
_atom_site_fract_x
_atom_site_fract_y
_atom_site_fract_z
La1 La 0.000 0.000 0.000
La2 La 0.500 0.500 0.385
Os1 Os 0.000 0.000 0.615
W1 W 0.500 0.500 0.759

---

2.
# LaOs3W GGA-PBE relaxed
# Energy above the lowest structure with this stoichiometry = 2.097 eV per atom
# E = -0.2603 hartree per atom
# Crystal system = cubic
data_LaOs3W
_chemical_formula_sum 'La1 Os3 W1'
_symmetry_space_group_name_H-M 'P m -3 m'
_symmetry_Int_Tables_number 221
_symmetry_space_group_name_Hall '-P 4 2 3'
_cell_length_a 4.720
_cell_length_b 4.720
_cell_length_c 4.720
_cell_angle_alpha 90.00
_cell_angle_beta 90.00
_cell_angle_gamma 90.00
loop_
_atom_site_label
_atom_site_type_symbol
_atom_site_fract_x
_atom_site_fract_y
_atom_site_fract_z
La1 La 0.000 0.000 0.000
Os1 Os 0.000 0.000 0.500
W1 W 0.500 0.500 0.500

---

3.
# La2OsW GGA-PBE relaxed
# Energy above the lowest structure with this stoichiometry = 0.570 eV per atom
# E = -0.2857 hartree per atom
# Crystal system = orthorhombic
data_La2OsW
_chemical_formula_sum 'La2 Os1 W1'
_symmetry_space_group_name_H-M 'P m m m'
_symmetry_Int_Tables_number 47
_symmetry_space_group_name_Hall '-P 2 2'
_cell_length_a 3.289
_cell_length_b 3.874
_cell_length_c 7.330
_cell_angle_alpha 90.00
_cell_angle_beta 90.00
_cell_angle_gamma 90.00
loop_
_atom_site_label
_atom_site_type_symbol
_atom_site_fract_x
_atom_site_fract_y
_atom_site_fract_z
La1 La 0.000 0.000 0.234
Os1 Os 0.500 0.500 0.000
W1 W 0.500 0.500 0.500

---

4.
# LaOsW GGA-PBE relaxed
# Energy above the lowest structure with this stoichiometry = 0.355 eV per atom
# E = -0.3421 hartree per atom
# Crystal system = orthorhombic
data_LaOsW
_chemical_formula_sum 'La2 Os2 W2'
_symmetry_space_group_name_H-M 'I m m 2'
_symmetry_Int_Tables_number 44
_symmetry_space_group_name_Hall 'I 2 -2'
_cell_length_a 3.108
_cell_length_b 3.951
_cell_length_c 11.037
_cell_angle_alpha 90.00
_cell_angle_beta 90.00
_cell_angle_gamma 90.00
loop_
_atom_site_label
_atom_site_type_symbol
_atom_site_fract_x
_atom_site_fract_y
_atom_site_fract_z
La1 La 0.000 0.000 0.000
Os1 Os 0.000 0.000 0.724
W1 W 0.000 0.000 0.273

---

5.
# LaOsW GGA-PBE relaxed
# Energy above the lowest structure with this stoichiometry = 1.867 eV per atom
# E = -0.2866 hartree per atom
# Crystal system = cubic
data_LaOsW
_chemical_formula_sum 'La4 Os4 W4'
_symmetry_space_group_name_H-M 'F -4 3 m'
_symmetry_Int_Tables_number 216
_symmetry_space_group_name_Hall 'F -4 2 3'
_cell_length_a 6.345
_cell_length_b 6.345
_cell_length_c 6.345
_cell_angle_alpha 90.00
_cell_angle_beta 90.00
_cell_angle_gamma 90.00
loop_
_atom_site_label
_atom_site_type_symbol
_atom_site_fract_x
_atom_site_fract_y
_atom_site_fract_z
La1 La 0.000 0.000 0.000
Os1 Os 0.250 0.250 0.750
W1 W 0.250 0.250 0.250

---

6.
# LaY3Os GGA-PBE relaxed
# Energy above the lowest structure with this stoichiometry = 0.000 eV per atom
# E = -0.2621 hartree per atom
# Crystal system = cubic
data_LaY3Os
_chemical_formula_sum 'La1 Y3 Os1'
_symmetry_space_group_name_H-M 'P m -3 m'
_symmetry_Int_Tables_number 221
_symmetry_space_group_name_Hall '-P 4 2 3'
_cell_length_a 5.474
_cell_length_b 5.474
_cell_length_c 5.474
_cell_angle_alpha 90.00
_cell_angle_beta 90.00
_cell_angle_gamma 90.00
loop_
_atom_site_label
_atom_site_type_symbol
_atom_site_fract_x
_atom_site_fract_y
_atom_site_fract_z
La1 La 0.000 0.000 0.000
Y1 Y 0.000 0.500 0.500
Os1 Os 0.500 0.500 0.500